Computed, not measured: a geometry-optimized CsCdP structure at the GGA-PBE level of DFT.

## Properties
Its formation enthalpy at 0 K is 0.018 eV per atom.

Unit cell a=3.8776 b=3.8776 c=12.9297 alpha=90.00 beta=90.00 gamma=90.00
Closest atoms and distances in Å follow each position.
Space group I4mm (No. 107)
Unique sites:
Cs: 0.0000 0.0000 0.0000 (multiplicity 2)  1 Cd 3.37, 1 P 3.49
Cd: 0.0000 0.0000 0.2604 (multiplicity 2)  4 P 2.77
P: 0.0000 0.0000 0.7297 (multiplicity 2)  4 Cd 2.77